Here is a relaxed structure of BaNbSn from the Alexandria database. Energies are from GGA-PBE.

## Properties
- Distance to the lowest polymorph of the same formula: 0.271 eV per atom
- Magnetic moment: 0.00 μB/f.u.
- Calculated total energy: -5.24 eV per atom
- E_form: 0.0882 eV/atom

a b c (Å): 12.774 4.600 8.518
angles (deg): 90.00 128.54 90.00
Space group Cm (No. 8)
Inequivalent atoms, fractional coordinates:
Ba (0.000, 0.000, 0.000) [2 per cell]
Ba (0.138, 0.000, 0.699) [2 per cell]
Nb (0.242, 0.500, 0.451) [2 per cell]
Nb (0.332, 0.000, 0.477) [2 per cell]
Sn (0.276, 0.500, 0.152) [2 per cell]
Sn (0.467, 0.000, 0.290) [2 per cell]

Here is a relaxed structure of BaNbSn from the Alexandria database. Energies are from GGA-PBE.

## Properties
- Distance to the lowest polymorph of the same formula: 0.000 eV per atom
- Magnetic moment: 0.00 μB/f.u.
- Calculated total energy: -5.51 eV per atom
- E_form: -0.1825 eV/atom

a b c (Å): 23.834 4.145 4.136
angles (deg): 90.00 99.91 90.00
Space group C2/m (No. 12)
Inequivalent atoms, fractional coordinates:
Ba (0.163, 0.000, 0.161) [4 per cell]
Nb (0.000, 0.000, 0.500) [2 per cell]
Nb (0.000, 0.500, 0.000) [2 per cell]
Sn (0.088, 0.500, 0.587) [4 per cell]

Here is a relaxed structure of BaNbSn2 from the Alexandria database. Energies are from GGA-PBE.

## Properties
- Distance to the lowest polymorph of the same formula: 0.002 eV per atom
- Magnetic moment: 2.59 μB/f.u.
- Calculated total energy: -4.82 eV per atom
- E_form: 0.1771 eV/atom

a b c (Å): 7.640 7.640 7.640
angles (deg): 90.00 90.00 90.00
Space group Fm-3m (No. 225)
Inequivalent atoms, fractional coordinates:
Ba (0.000, 0.000, 0.000) [4 per cell]
Nb (0.000, 0.000, 0.500) [4 per cell]
Sn (0.250, 0.250, 0.250) [8 per cell]

Here is a relaxed structure of BaNbSn from the Alexandria database. Energies are from GGA-PBE.

## Properties
- Distance to the lowest polymorph of the same formula: 0.255 eV per atom
- Magnetic moment: 0.00 μB/f.u.
- Calculated total energy: -5.26 eV per atom
- E_form: 0.0725 eV/atom

a b c (Å): 5.198 8.287 8.538
angles (deg): 90.00 90.00 90.00
Space group Imm2 (No. 44)
Inequivalent atoms, fractional coordinates:
Ba (0.000, 0.000, 0.000) [2 per cell]
Ba (0.000, 0.500, 0.151) [2 per cell]
Nb (0.000, 0.361, 0.742) [4 per cell]
Sn (0.000, 0.182, 0.425) [4 per cell]

Here is a relaxed structure of BaNbSn from the Alexandria database. Energies are from GGA-PBE.

## Properties
- Distance to the lowest polymorph of the same formula: 0.087 eV per atom
- Magnetic moment: 0.00 μB/f.u.
- Calculated total energy: -5.43 eV per atom
- E_form: -0.0958 eV/atom

a b c (Å): 9.333 3.863 11.694
angles (deg): 90.00 101.91 90.00
Space group C2/m (No. 12)
Inequivalent atoms, fractional coordinates:
Ba (0.173, 0.000, 0.174) [4 per cell]
Nb (0.164, 0.000, 0.547) [4 per cell]
Sn (0.023, 0.500, 0.364) [4 per cell]

Here is a relaxed structure of BaNbSn from the Alexandria database. Energies are from GGA-PBE.

## Properties
- Distance to the lowest polymorph of the same formula: 0.227 eV per atom
- Magnetic moment: 0.00 μB/f.u.
- Calculated total energy: -5.29 eV per atom
- E_form: 0.0447 eV/atom

a b c (Å): 3.533 6.583 8.519
angles (deg): 90.90 90.25 105.38
Space group P1 (No. 1)
Inequivalent atoms, fractional coordinates:
Ba (0.000, 0.000, 0.000) [1 per cell]
Ba (0.260, 0.521, 0.340) [1 per cell]
Nb (0.637, 0.259, 0.668) [1 per cell]
Nb (0.972, 0.928, 0.617) [1 per cell]
Sn (0.310, 0.604, 0.767) [1 per cell]
Sn (0.535, 0.062, 0.362) [1 per cell]